Record 1
GGA-PBE Pr14YSc, optimized geometry; formation enthalpy at 0 K = 21 meV per atom; Fermi-level density of states = 1.48 states/eV/atom; spin magnetization = 0.00 μB/atom; symmetry = P4/mmm; crystal system = tetragonal
1.0
7.354 0.000 0.000
0.000 7.354 0.000
0.000 0.000 10.398
Pr Y Sc
14 1 1
direct
0.000 0.000 0.000
0.000 0.500 0.000
0.000 0.500 0.500
0.247 0.247 0.255
0.247 0.247 0.745
0.247 0.753 0.255
0.247 0.753 0.745
0.500 0.000 0.000
0.500 0.000 0.500
0.500 0.500 0.000
0.753 0.247 0.255
0.753 0.247 0.745
0.753 0.753 0.255
0.753 0.753 0.745
0.500 0.500 0.500
0.000 0.000 0.500

---

Record 2
GGA-PBE Ac9Nd2Ho, optimized geometry; formation enthalpy at 0 K = 27 meV per atom; Fermi-level density of states = 1.63 states/eV/atom; spin magnetization = 0.00 μB/atom; symmetry = P4/mmm; crystal system = tetragonal
1.0
5.512 0.000 0.000
0.000 5.512 0.000
0.000 0.000 16.567
Ac Nd Ho
9 2 1
direct
0.000 0.000 0.000
0.000 0.000 0.332
0.000 0.000 0.668
0.000 0.500 0.165
0.000 0.500 0.500
0.000 0.500 0.835
0.500 0.000 0.165
0.500 0.000 0.500
0.500 0.000 0.835
0.500 0.500 0.332
0.500 0.500 0.668
0.500 0.500 0.000

---

Record 3
GGA-PBE ZrNbCr2Ga, optimized geometry; formation enthalpy at 0 K = 1212 meV per atom; Fermi-level density of states = 1.78 states/eV/atom; spin magnetization = 0.00 μB/atom; symmetry = P4/mmm; crystal system = tetragonal
1.0
4.382 0.000 0.000
0.000 4.382 0.000
0.000 0.000 4.916
Zr Nb Cr Ga
1 1 2 1
direct
0.000 0.000 0.000
0.500 0.500 0.000
0.000 0.500 0.500
0.500 0.000 0.500
0.000 0.000 0.500

---

Record 4
GGA-PBE Pr2ErAl12Fe3, optimized geometry; formation enthalpy at 0 K = 135 meV per atom; Fermi-level density of states = 0.70 states/eV/atom; spin magnetization = 0.00 μB/atom; symmetry = R-3m; crystal system = trigonal
1.0
4.279 2.471 6.268
-4.279 2.471 6.268
0.000 -4.941 6.268
Pr Er Al Fe
2 1 12 3
direct
0.083 0.083 0.083
0.917 0.917 0.917
0.500 0.500 0.500
0.030 0.661 0.661
0.229 0.229 0.579
0.229 0.579 0.229
0.339 0.339 0.970
0.339 0.970 0.339
0.421 0.771 0.771
0.579 0.229 0.229
0.661 0.030 0.661
0.661 0.661 0.030
0.771 0.421 0.771
0.771 0.771 0.421
0.970 0.339 0.339
0.000 0.500 0.500
0.500 0.000 0.500
0.500 0.500 0.000

---

Number 3 is which compound?
ZrNbCr2Ga